# 1
Density functional theory data (PBE) for a relaxed CsSm2Cr2N6 crystal.

Lattice parameters (Å, degrees): 11.329 6.588 6.810 90.00 120.82 90.00
Space group C2/m (No. 12)
Unique sites:
Cs (0.000, 0.000, 0.000) x2
Sm (0.182, 0.500, 0.299) x4
Cr (0.114, 0.500, 0.681) x4
N (0.078, 0.500, 0.896) x4
N (0.181, 0.290, 0.629) x8

Properties
* raw formation energy: -553 meV per atom
* DOS(E_F): 4.1 states/eV/f.u.

# 2
Density functional theory data (PBE) for a relaxed TlPtSe crystal.

Lattice parameters (Å, degrees): 3.454 3.454 12.881 90.00 90.00 90.00
Space group I4mm (No. 107)
Unique sites:
Tl (0.000, 0.000, 0.000) x2
Pt (0.000, 0.000, 0.689) x2
Se (0.000, 0.000, 0.247) x2

Properties
* raw formation energy: -55 meV per atom
* DOS(E_F): 1.1 states/eV/f.u.

# 3
Density functional theory data (PBE) for a relaxed FeNi6Pt2 crystal.

Lattice parameters (Å, degrees): 8.315 4.800 5.668 90.00 90.10 90.00
Space group C2/m (No. 12)
Unique sites:
Fe (0.000, 0.000, 0.000) x2
Ni (0.085, 0.257, 0.669) x8
Ni (0.171, 0.000, 0.331) x4
Pt (0.167, 0.500, 0.090) x4

Properties
* energy relative to the elements: 2.0 kcal/mol of atoms
* energy above the lowest structure with this stoichiometry: 15.5 kJ per mole of atoms
* DOS(E_F): 9.9 states/eV/f.u.

# 4
Density functional theory data (PBE) for a relaxed Zr2AlSi crystal.

Lattice parameters (Å, degrees): 3.861 3.835 10.202 90.00 90.00 90.00
Space group Amm2 (No. 38)
Unique sites:
Zr (0.000, 0.000, 0.000) x2
Zr (0.500, 0.000, 0.290) x2
Al (0.500, 0.000, 0.567) x2
Si (0.000, 0.000, 0.724) x2

Properties
* raw formation energy: -730 meV per atom
* energy above the lowest structure with this stoichiometry: 0.4 kJ per mole of atoms
* DOS(E_F): 2.3 states/eV/f.u.

# 5
Density functional theory data (PBE) for a relaxed Na2HoBiS4 crystal.

Lattice parameters (Å, degrees): 6.996 4.015 7.116 90.00 109.03 90.00
Space group P2/m (No. 10)
Unique sites:
Na (0.000, 0.000, 0.000) x1
Na (0.500, 0.500, 0.000) x1
Ho (0.000, 0.500, 0.500) x1
Bi (0.500, 0.000, 0.500) x1
S (0.235, 0.000, 0.727) x2
S (0.246, 0.500, 0.267) x2

Properties
* raw formation energy: -1299 meV per atom
* DOS(E_F): 0.0 states/eV/f.u.

# 6
Density functional theory data (PBE) for a relaxed CeCdSi2Au5 crystal.

Lattice parameters (Å, degrees): 4.612 4.612 9.667 90.00 90.00 90.00
Space group P4/mmm (No. 123)
Unique sites:
Ce (0.000, 0.000, 0.000) x1
Cd (0.000, 0.000, 0.500) x1
Si (0.500, 0.500, 0.244) x2
Au (0.000, 0.500, 0.320) x4
Au (0.500, 0.500, 0.000) x1

Properties
* raw formation energy: -181 meV per atom
* DOS(E_F): 11.2 states/eV/f.u.

# 7
Density functional theory data (PBE) for a relaxed PmDySb crystal.

Lattice parameters (Å, degrees): 4.513 4.513 17.234 90.00 90.00 90.00
Space group I4/mmm (No. 139)
Unique sites:
Pm (0.000, 0.000, 0.177) x4
Dy (0.000, 0.500, 0.000) x4
Sb (0.000, 0.000, 0.365) x4

Properties
* raw formation energy: -831 meV per atom
* energy above the lowest structure with this stoichiometry: 0.0 kJ per mole of atoms
* DOS(E_F): 4.1 states/eV/f.u.

# 8
Density functional theory data (PBE) for a relaxed SrCu2Pt crystal.

Lattice parameters (Å, degrees): 3.052 3.833 6.323 90.00 90.00 90.00
Space group Pmmm (No. 47)
Unique sites:
Sr (0.000, 0.000, 0.000) x1
Cu (0.500, 0.500, 0.313) x2
Pt (0.000, 0.000, 0.500) x1

Properties
* energy relative to the elements: -0.9 kcal/mol of atoms
* energy above the lowest structure with this stoichiometry: 32.4 kJ per mole of atoms
* DOS(E_F): 2.4 states/eV/f.u.

# 9
Density functional theory data (PBE) for a relaxed CuAgSbS4 crystal.

Lattice parameters (Å, degrees): 7.029 7.282 11.643 90.00 90.00 90.00
Space group Imma (No. 74)
Unique sites:
Cu (0.250, 0.250, 0.250) x4
Ag (0.000, 0.250, 0.668) x4
Sb (0.000, 0.000, 0.000) x4
S (0.000, 0.042, 0.226) x8
S (0.242, 0.250, 0.504) x8

Properties
* raw formation energy: -75 meV per atom
* DOS(E_F): 3.1 states/eV/f.u.

# 10
Density functional theory data (PBE) for a relaxed YCd4Pd2 crystal.

Lattice parameters (Å, degrees): 8.835 8.835 3.884 90.00 90.00 90.00
Space group P4_2/mnm (No. 136)
Unique sites:
Y (0.000, 0.000, 0.000) x2
Cd (0.095, 0.335, 0.500) x8
Pd (0.173, 0.827, 0.500) x4

Properties
* energy relative to the elements: -9.4 kcal/mol of atoms
* DOS(E_F): 2.9 states/eV/f.u.

For each record above, in turn, the calculated spin magnetization values are 0.5, 0.0, 7.5, 0.0, 0.0, 1.2, 0.0, 0.0, 0.0, 0.0 μB per formula unit.